# 1
Entry from Alexandria: Li4TlAg after structural relaxation (GGA-PBE).

Summary:
E_form   -26 meV/atom
E above lowest polymorph   0.1429 eV per atom

Cell: 4.0593 4.0784 7.7711 Å, 90.00 90.00 90.00°
Last column: nearest neighbours and their distance in Å.
Positions (direct):
Li: 0.0000 0.0000 0.2313  2 Ag 2.72, 4 Li 2.88, 2 Tl 2.91
Li: 0.0000 0.0000 0.7687  2 Ag 2.72, 4 Li 2.88, 2 Tl 2.91
Li: 0.5000 0.5000 0.2327  2 Ag 2.72, 4 Li 2.88, 2 Tl 2.91
Li: 0.5000 0.5000 0.7673  2 Ag 2.72, 4 Li 2.88, 2 Tl 2.91
Tl: 0.5000 0.0000 0.5000  8 Li 2.91
Ag: 0.0000 0.5000 0.0000  8 Li 2.72

# 2
Entry from Alexandria: TlAuO3 after structural relaxation (GGA-PBE).

Summary:
Formation energy (no corrections)   9 kJ/mol of atoms

Cell: 4.0878 4.0878 4.0878 Å, 90.00 90.00 90.00°
Last column: nearest neighbours and their distance in Å.
Positions (direct):
Tl: 0.0000 0.0000 0.0000  12 O 2.89
Au: 0.5000 0.5000 0.5000  6 O 2.04
O: 0.0000 0.5000 0.5000  2 Au 2.04
O: 0.5000 0.0000 0.5000  2 Au 2.04
O: 0.5000 0.5000 0.0000  2 Au 2.04

# 3
Entry from Alexandria: BaAsAu after structural relaxation (GGA-PBE).

Summary:
E_form   -854 meV/atom

Cell: 4.6373 4.6373 8.6374 Å, 105.57 105.57 89.99°
Last column: nearest neighbours and their distance in Å.
Positions (direct):
Ba: 0.0000 0.0000 0.0000  4 Au 3.50, 8 As 3.54
Ba: 0.7501 0.2499 0.5000  4 As 3.53, 8 Au 3.55-3.56
As: 0.4167 0.4160 0.8334  2 Au 2.65, 1 As 2.66
As: 0.5840 0.5833 0.1666  2 Au 2.65, 1 As 2.66
Au: 0.1648 0.6642 0.3277  2 As 2.65, 1 Au 2.75
Au: 0.3358 0.8352 0.6723  2 As 2.65, 1 Au 2.75

# 4
Entry from Alexandria: VAsSe2N after structural relaxation (GGA-PBE).

Summary:
Formation energy (no corrections)   97 kJ/mol of atoms
E above lowest polymorph   0.8354 eV per atom

Cell: 5.0856 5.0856 3.5787 Å, 90.00 90.00 90.00°
Last column: nearest neighbours and their distance in Å.
Positions (direct):
V: 0.0000 0.0000 0.0000  8 Se 3.11
As: 0.5000 0.5000 0.5000  2 N 1.79
Se: 0.0000 0.5000 0.5000  2 As 2.54
Se: 0.5000 0.0000 0.5000  2 As 2.54
N: 0.5000 0.5000 0.0000  2 As 1.79

# 5
Entry from Alexandria: Be2TeRu after structural relaxation (GGA-PBE).

Summary:
Formation energy (no corrections)   21 kJ/mol of atoms

Cell: 3.1148 3.6741 5.2628 Å, 90.00 90.40 90.00°
Last column: nearest neighbours and their distance in Å.
Positions (direct):
Be: 0.0000 0.0000 0.0000  2 Ru 2.26, 4 Be 2.43-2.44
Be: 0.4967 0.5000 0.0673  2 Ru 2.24, 4 Be 2.43-2.44
Te: 0.0078 0.5000 0.5998  4 Be 2.80-2.94, 4 Ru 2.85, 2 Te 3.11
Ru: 0.5042 0.0000 0.3111  4 Be 2.24-2.26

# 6
Entry from Alexandria: K2TlWSe4 after structural relaxation (GGA-PBE).

Summary:
Formation energy (no corrections)   -62 kJ/mol of atoms

Cell: 7.2118 7.2118 7.2118 Å, 109.11 109.11 110.21°
Last column: nearest neighbours and their distance in Å.
Positions (direct):
K: 0.0000 0.0000 0.0000  4 Se 3.27
K: 0.7500 0.2500 0.5000  4 Se 3.44
Tl: 0.5000 0.5000 0.0000  4 Se 3.14
W: 0.2500 0.7500 0.5000  4 Se 2.37
Se: 0.2477 0.7361 0.1658  1 W 2.37
Se: 0.2639 0.4297 0.5117  1 W 2.37
Se: 0.5703 0.0820 0.8342  1 W 2.37
Se: 0.9180 0.7523 0.4883  1 W 2.37

# 7
Entry from Alexandria: BaSiHg2Se4 after structural relaxation (GGA-PBE).

Summary:
Formation energy (no corrections)   -66 kJ/mol of atoms

Cell: 6.8765 6.6453 7.5426 Å, 57.57 54.65 67.78°
Last column: nearest neighbours and their distance in Å.
Positions (direct):
Ba: 0.0000 0.0000 0.0000  6 Se 3.39-3.50
Si: 0.4865 0.4865 0.5135  4 Se 2.28-2.36
Hg: 0.1604 0.1604 0.3396  4 Se 2.82-3.09
Hg: 0.6604 0.6604 0.8396  4 Se 2.82-3.09
Se: 0.1629 0.5110 0.4890  1 Si 2.28
Se: 0.4671 0.8364 0.5329  1 Si 2.36
Se: 0.5110 0.1629 0.8371  1 Si 2.28
Se: 0.8364 0.4671 0.1636  1 Si 2.36

# 8
Entry from Alexandria: Mn2FeNi9 after structural relaxation (GGA-PBE).

Summary:
E_form   -101 meV/atom

Cell: 3.5585 3.5585 10.6924 Å, 90.00 90.00 90.00°
Last column: nearest neighbours and their distance in Å.
Positions (direct):
Mn: 0.0000 0.0000 0.1668  12 Ni 2.52-2.54
Mn: 0.0000 0.0000 0.8332  12 Ni 2.52-2.54
Fe: 0.0000 0.0000 0.5000  12 Ni 2.49-2.52
Ni: 0.0000 0.5000 0.0000  8 Ni 2.52-2.53, 4 Mn 2.52
Ni: 0.0000 0.5000 0.3365  2 Fe 2.49, 8 Ni 2.49-2.53, 2 Mn 2.54
Ni: 0.0000 0.5000 0.6635  2 Fe 2.49, 8 Ni 2.49-2.53, 2 Mn 2.54
Ni: 0.5000 0.0000 0.0000  8 Ni 2.52-2.53, 4 Mn 2.52
Ni: 0.5000 0.0000 0.3365  2 Fe 2.49, 8 Ni 2.49-2.53, 2 Mn 2.54
Ni: 0.5000 0.0000 0.6635  2 Fe 2.49, 8 Ni 2.49-2.53, 2 Mn 2.54
Ni: 0.5000 0.5000 0.1682  4 Mn 2.52, 8 Ni 2.53
Ni: 0.5000 0.5000 0.5000  8 Ni 2.49, 4 Fe 2.52
Ni: 0.5000 0.5000 0.8318  4 Mn 2.52, 8 Ni 2.53

# 9
Entry from Alexandria: DyHo2Cd6 after structural relaxation (GGA-PBE).

Summary:
E_form   -310 meV/atom

Cell: 8.6043 8.6043 3.4175 Å, 90.00 90.00 120.00°
Last column: nearest neighbours and their distance in Å.
Positions (direct):
Dy: 0.0000 0.0000 0.0000  12 Cd 3.34, 2 Dy 3.42
Ho: 0.3333 0.6667 0.0000  12 Cd 3.34, 2 Ho 3.42
Ho: 0.6667 0.3333 0.0000  12 Cd 3.34, 2 Ho 3.42
Cd: 0.0000 0.3337 0.5000  3 Cd 2.86-2.87
Cd: 0.0000 0.6663 0.5000  3 Cd 2.86-2.87
Cd: 0.3337 0.0000 0.5000  3 Cd 2.86-2.87
Cd: 0.3337 0.3337 0.5000  3 Cd 2.86-2.87
Cd: 0.6663 0.0000 0.5000  3 Cd 2.86-2.87
Cd: 0.6663 0.6663 0.5000  3 Cd 2.86-2.87

# 10
Entry from Alexandria: RbLaMgCd after structural relaxation (GGA-PBE).

Summary:
E_form   8 meV/atom
E above lowest polymorph   0.0000 eV per atom

Cell: 4.0561 4.0561 9.0764 Å, 90.00 90.00 90.00°
Last column: nearest neighbours and their distance in Å.
Positions (direct):
Rb: 0.0000 0.0000 0.0000  4 Cd 3.90, 4 Mg 4.02, 4 Rb 4.06, 1 La 4.36
La: 0.0000 0.0000 0.4800  4 Cd 3.34, 4 Mg 3.44
Mg: 0.5000 0.5000 0.6894  4 La 3.44, 1 Cd 3.61
Cd: 0.5000 0.5000 0.2914  4 La 3.34, 1 Mg 3.61

# 11
Entry from Alexandria: TbPmHo4Er2 after structural relaxation (GGA-PBE).

Summary:
E_form   443 meV/atom

Cell: 9.4629 9.4629 6.7605 Å, 110.93 110.93 88.77°
Last column: nearest neighbours and their distance in Å.
Positions (direct):
Tb: 0.0000 0.0000 0.0000  6 Ho 3.33-3.40, 2 Tb 3.38
Tb: 0.0000 0.0000 0.5000  6 Ho 3.33-3.40, 2 Tb 3.38
Pm: 0.0000 0.5000 0.0000  6 Ho 3.34-3.39, 2 Er 3.38
Pm: 0.5000 0.0000 0.5000  6 Ho 3.34-3.39, 2 Er 3.38
Ho: 0.2492 0.2537 0.5029  3 Er 3.28-3.37, 1 Pm 3.34, 2 Ho 3.38, 2 Tb 3.39-3.40
Ho: 0.2515 0.7483 0.9982  3 Er 3.29-3.38, 1 Tb 3.33, 2 Ho 3.36-3.40, 2 Pm 3.39
Ho: 0.2517 0.7485 0.5018  3 Er 3.29-3.38, 1 Tb 3.33, 2 Ho 3.36-3.40, 2 Pm 3.39
Ho: 0.2537 0.2492 0.0029  3 Er 3.28-3.37, 1 Pm 3.34, 2 Ho 3.38, 2 Tb 3.39-3.40
Ho: 0.7463 0.7508 0.9971  3 Er 3.28-3.37, 1 Pm 3.34, 2 Ho 3.38, 2 Tb 3.39-3.40
Ho: 0.7483 0.2515 0.4982  3 Er 3.29-3.38, 1 Tb 3.33, 2 Ho 3.36-3.40, 2 Pm 3.39
Ho: 0.7485 0.2517 0.0018  3 Er 3.29-3.38, 1 Tb 3.33, 2 Ho 3.36-3.40, 2 Pm 3.39
Ho: 0.7508 0.7463 0.4971  3 Er 3.28-3.37, 1 Pm 3.34, 2 Ho 3.38, 2 Tb 3.39-3.40
Er: 0.0000 0.5000 0.5000  6 Ho 3.28-3.38, 2 Pm 3.38
Er: 0.5000 0.0000 0.0000  6 Ho 3.28-3.38, 2 Pm 3.38
Er: 0.5000 0.5000 0.0000  6 Ho 3.29-3.37, 2 Er 3.38
Er: 0.5000 0.5000 0.5000  6 Ho 3.29-3.37, 2 Er 3.38

# 12
Entry from Alexandria: AcLa2ErS4 after structural relaxation (GGA-PBE).

Summary:
Formation energy (no corrections)   -197 kJ/mol of atoms

Cell: 7.1423 4.0895 7.2128 Å, 90.00 108.97 90.00°
Last column: nearest neighbours and their distance in Å.
Positions (direct):
Ac: 0.0000 0.0000 0.0000  6 S 2.96
La: 0.5000 0.0000 0.5000  6 S 2.88-2.89
La: 0.5000 0.5000 0.0000  6 S 3.03-3.04
Er: 0.0000 0.5000 0.5000  6 S 2.80-2.81
S: 0.2345 0.0000 0.7281  2 Er 2.81, 3 La 2.89-3.03, 1 Ac 2.96
S: 0.2469 0.5000 0.2670  1 Er 2.80, 3 La 2.88-3.04, 2 Ac 2.96
S: 0.7531 0.5000 0.7330  1 Er 2.80, 3 La 2.88-3.04, 2 Ac 2.96
S: 0.7655 0.0000 0.2719  2 Er 2.81, 3 La 2.89-3.03, 1 Ac 2.96

# 13
Entry from Alexandria: AlPtSe2 after structural relaxation (GGA-PBE).

Summary:
Formation energy (no corrections)   -26 kJ/mol of atoms

Cell: 5.9933 5.9933 5.9933 Å, 142.96 142.96 53.39°
Last column: nearest neighbours and their distance in Å.
Positions (direct):
Al: 0.0000 0.0000 0.0000  4 Pt 2.69, 2 Se 2.88
Pt: 0.5000 0.5000 0.0000  2 Se 2.48, 4 Al 2.69
Se: 0.2685 0.2685 0.0000  1 Pt 2.48, 4 Se 2.72
Se: 0.7315 0.7315 0.0000  1 Pt 2.48, 4 Se 2.72

# 14
Entry from Alexandria: Er12Sc6In after structural relaxation (GGA-PBE).

Summary:
E_form   74 meV/atom

Cell: 8.1886 8.1886 8.1886 Å, 88.20 88.20 88.20°
Last column: nearest neighbours and their distance in Å.
Positions (direct):
Er: 0.0399 0.2877 0.9340  3 Sc 3.19-3.39, 4 Er 3.28-3.51
Er: 0.0660 0.9602 0.7123  3 Sc 3.19-3.39, 4 Er 3.28-3.51
Er: 0.1317 0.3277 0.4909  4 Sc 3.27-3.60, 1 In 3.37, 5 Er 3.41-3.55
Er: 0.2877 0.9340 0.0398  3 Sc 3.19-3.39, 4 Er 3.28-3.51
Er: 0.3277 0.4909 0.1317  4 Sc 3.27-3.60, 1 In 3.37, 5 Er 3.41-3.55
Er: 0.4909 0.1317 0.3277  4 Sc 3.27-3.60, 1 In 3.37, 5 Er 3.41-3.55
Er: 0.5091 0.8683 0.6723  4 Sc 3.27-3.60, 1 In 3.37, 5 Er 3.41-3.55
Er: 0.6723 0.5091 0.8683  4 Sc 3.27-3.60, 1 In 3.37, 5 Er 3.41-3.55
Er: 0.7123 0.0660 0.9601  3 Sc 3.19-3.39, 4 Er 3.28-3.51
Er: 0.8683 0.6723 0.5091  4 Sc 3.27-3.60, 1 In 3.37, 5 Er 3.41-3.55
Er: 0.9340 0.0399 0.2877  3 Sc 3.19-3.39, 4 Er 3.28-3.51
Er: 0.9602 0.7123 0.0660  3 Sc 3.19-3.39, 4 Er 3.28-3.51
Sc: 0.2200 0.5988 0.7562  1 In 3.16, 6 Er 3.19-3.39, 2 Sc 3.23
Sc: 0.2438 0.7800 0.4012  1 In 3.16, 6 Er 3.19-3.39, 2 Sc 3.23
Sc: 0.4012 0.2438 0.7800  1 In 3.16, 6 Er 3.19-3.39, 2 Sc 3.23
Sc: 0.5988 0.7562 0.2200  1 In 3.16, 6 Er 3.19-3.39, 2 Sc 3.23
Sc: 0.7562 0.2200 0.5988  1 In 3.16, 6 Er 3.19-3.39, 2 Sc 3.23
Sc: 0.7800 0.4012 0.2438  1 In 3.16, 6 Er 3.19-3.39, 2 Sc 3.23
In: 0.5000 0.5000 0.5000  6 Sc 3.16, 6 Er 3.37

# 15
Entry from Alexandria: LaP2IrRu after structural relaxation (GGA-PBE).

Summary:
E_form   -1017 meV/atom

Cell: 6.3365 6.3365 6.3365 Å, 143.23 143.23 52.98°
Last column: nearest neighbours and their distance in Å.
Positions (direct):
La: 0.0000 0.0000 0.0000  8 P 3.24, 4 Ru 3.47, 4 Ir 3.47
P: 0.3597 0.3597 0.0000  2 Ir 2.35, 2 Ru 2.35
P: 0.6403 0.6403 0.0000  2 Ru 2.35, 2 Ir 2.35
Ir: 0.7500 0.2500 0.5000  4 P 2.35
Ru: 0.2500 0.7500 0.5000  4 P 2.35

# 16
Entry from Alexandria: Tc2NiAs8 after structural relaxation (GGA-PBE).

Summary:
E_form   84 meV/atom

Cell: 7.4764 7.4764 4.7252 Å, 90.00 90.00 120.00°
Last column: nearest neighbours and their distance in Å.
Positions (direct):
Tc: 0.3333 0.6667 0.2752  5 As 2.30-2.44
Tc: 0.6667 0.3333 0.7248  5 As 2.30-2.44
Ni: 0.0000 0.0000 0.5000  6 As 2.42
As: 0.1480 0.2959 0.1859  1 Ni 2.42, 1 Tc 2.44, 2 As 2.60
As: 0.1480 0.8520 0.1859  1 Ni 2.42, 1 Tc 2.44, 2 As 2.60
As: 0.2959 0.1480 0.8141  1 Ni 2.42, 1 Tc 2.44, 2 As 2.60
As: 0.3333 0.6667 0.7618  2 Tc 2.30-2.43
As: 0.6667 0.3333 0.2382  2 Tc 2.30-2.43
As: 0.7041 0.8520 0.1859  1 Ni 2.42, 1 Tc 2.44, 2 As 2.60
As: 0.8520 0.1480 0.8141  1 Ni 2.42, 1 Tc 2.44, 2 As 2.60
As: 0.8520 0.7041 0.8141  1 Ni 2.42, 1 Tc 2.44, 2 As 2.60

# 17
Entry from Alexandria: La3Sc after structural relaxation (GGA-PBE).

Summary:
E_form   35 meV/atom

Cell: 6.2965 11.5727 7.2493 Å, 90.00 90.00 90.00°
Last column: nearest neighbours and their distance in Å.
Positions (direct):
La: 0.0801 0.2500 0.1277  8 La 3.51-3.65, 4 Sc 3.59-3.73
La: 0.2441 0.5069 0.3831  9 La 3.51-3.69, 3 Sc 3.51-3.61
La: 0.2441 0.9931 0.3831  9 La 3.51-3.69, 3 Sc 3.51-3.61
La: 0.2559 0.0069 0.8831  9 La 3.51-3.69, 3 Sc 3.51-3.61
La: 0.2559 0.4931 0.8831  9 La 3.51-3.69, 3 Sc 3.51-3.61
La: 0.4199 0.7500 0.6277  8 La 3.51-3.65, 4 Sc 3.59-3.73
La: 0.5801 0.2500 0.3723  8 La 3.51-3.65, 4 Sc 3.59-3.73
La: 0.7441 0.5069 0.1169  9 La 3.51-3.69, 3 Sc 3.51-3.61
La: 0.7441 0.9931 0.1169  9 La 3.51-3.69, 3 Sc 3.51-3.61
La: 0.7559 0.0069 0.6169  9 La 3.51-3.69, 3 Sc 3.51-3.61
La: 0.7559 0.4931 0.6169  9 La 3.51-3.69, 3 Sc 3.51-3.61
La: 0.9199 0.7500 0.8723  8 La 3.51-3.65, 4 Sc 3.59-3.73
Sc: 0.0902 0.2500 0.6327  10 La 3.51-3.73, 2 Sc 3.58
Sc: 0.4098 0.7500 0.1327  10 La 3.51-3.73, 2 Sc 3.58
Sc: 0.5902 0.2500 0.8673  10 La 3.51-3.73, 2 Sc 3.58
Sc: 0.9098 0.7500 0.3673  10 La 3.51-3.73, 2 Sc 3.58

# 18
Entry from Alexandria: TlAs3S after structural relaxation (GGA-PBE).

Summary:
Formation energy (no corrections)   141 kJ/mol of atoms
E above lowest polymorph   0.8870 eV per atom

Cell: 5.3023 5.3023 5.3023 Å, 90.00 90.00 90.00°
Last column: nearest neighbours and their distance in Å.
Positions (direct):
Tl: 0.0000 0.0000 0.0000  6 As 2.65
As: 0.0000 0.0000 0.5000  2 Tl 2.65
As: 0.0000 0.5000 0.0000  2 Tl 2.65
As: 0.5000 0.0000 0.0000  2 Tl 2.65
S: 0.5000 0.5000 0.5000  12 As 3.75

# 19
Entry from Alexandria: ErPaMoRu after structural relaxation (GGA-PBE).

Summary:
E_form   -125 meV/atom

Cell: 4.8464 4.8464 4.8464 Å, 60.00 60.00 60.00°
Last column: nearest neighbours and their distance in Å.
Positions (direct):
Er: 0.0000 0.0000 0.0000  4 Mo 2.97, 4 Ru 2.97
Pa: 0.5000 0.5000 0.5000  4 Mo 2.97, 4 Ru 2.97
Mo: 0.7500 0.7500 0.7500  4 Pa 2.97, 4 Er 2.97
Ru: 0.2500 0.2500 0.2500  4 Pa 2.97, 4 Er 2.97

# 20
Entry from Alexandria: UTl2Te2Br2 after structural relaxation (GGA-PBE).

Summary:
Formation energy (no corrections)   -70 kJ/mol of atoms

Cell: 9.1926 9.1926 9.1926 Å, 141.76 141.76 55.19°
Last column: nearest neighbours and their distance in Å.
Positions (direct):
U: 0.0000 0.0000 0.0000  2 Br 2.78, 4 Te 3.01
Tl: 0.3800 0.3800 0.0000  1 Br 3.41, 4 Te 3.59
Tl: 0.6200 0.6200 0.0000  1 Br 3.41, 4 Te 3.59
Te: 0.0000 0.5000 0.5000  2 U 3.01
Te: 0.5000 0.0000 0.5000  2 U 3.01
Br: 0.1708 0.1708 0.0000  1 U 2.78
Br: 0.8292 0.8292 0.0000  1 U 2.78

Across the entries above, uncorrected energy takes the values -0.0798, -0.1472, -0.1521, -0.1765, -0.1746, -0.1680, -0.1256, -0.2451, -0.0900, -0.0769, -0.1529, -0.2360, -0.1637, -0.1820, -0.2864, -0.2097, -0.1927, -0.0965, -0.3185, -0.1612 hartree per atom, respectively.